4
Lattice="6.095 0.000 0.000 3.048 5.278 0.000 3.048 1.759 4.977" Properties=species:S:1:pos:R:3 comment="SrLa2Nd, relaxed, DFT PBE-GGA" density_g_cm3=5.29 polymorph_energy_mev_per_atom=120 space_group="No. 225" magmom_total_mub_per_atom=0.176 formation_enthalpy_0k_ev_per_atom=0.192 dft_energy_ev_per_atom=-3.88 pbc="T T T"
Nd 6.095 3.519 2.488
La 3.048 1.759 1.244
Sr 0.000 0.000 0.000
La 9.143 5.278 3.732

***

6
Lattice="14.072 0.000 0.026 6.979 2.236 -3.931 -6.979 2.236 3.931" Properties=species:S:1:pos:R:3 comment="RbInPb, relaxed, DFT PBE-GGA" density_g_cm3=5.45 space_group="No. 8" magmom_total_mub_per_atom=0.000 formation_enthalpy_0k_ev_per_atom=-0.131 dft_energy_ev_per_atom=-2.60 pbc="T T T"
In 2.450 2.236 -0.200
Pb 16.424 2.236 -3.472
Rb 11.733 2.236 -1.873
In -3.003 2.236 2.098
Pb 7.861 2.236 2.143
Rb 7.043 2.236 -1.840

***

14
Lattice="5.417 0.000 0.000 -2.708 4.691 0.000 0.000 0.000 6.820" Properties=species:S:1:pos:R:3 comment="Na3CuS2O8, relaxed, DFT PBE-GGA" density_g_cm3=3.11 formation_energy_uncorrected_ev_per_atom=-1.49 space_group="No. 164" magmom_total_mub_per_atom=0.007 dft_energy_ev_per_atom=-5.49 pbc="T T T"
O 2.708 1.564 0.017
S 2.708 1.564 5.372
O 2.708 2.973 4.842
Na 0.000 0.000 0.000
O 1.488 0.859 4.842
S 0.000 3.127 1.448
O -1.220 3.832 1.978
O 3.928 0.859 4.842
Cu 0.000 0.000 3.410
O 1.220 3.832 1.978
O 0.000 1.718 1.978
Na 2.708 1.564 2.255
Na 0.000 3.127 4.564
O 0.000 3.127 6.803

***

11
Lattice="-0.286 -5.224 3.641 6.274 0.394 1.059 -0.933 3.098 4.372" Properties=species:S:1:pos:R:3 comment="LaTc2Ge8, relaxed, DFT PBE-GGA" density_g_cm3=6.88 space_group="No. 123" magmom_total_mub_per_atom=0.000 formation_enthalpy_0k_ev_per_atom=0.061 dft_energy_ev_per_atom=-5.63 pbc="T T T"
Ge 1.008 -0.220 2.081
Ge 4.508 -3.044 4.829
Ge 4.675 0.011 2.701
Tc -0.143 -2.612 1.821
Ge 4.047 -1.512 6.991
Ge 4.214 1.542 4.862
Ge 0.841 -3.274 4.210
La 2.527 -0.866 4.536
Ge 0.547 1.312 4.243
Tc 3.137 0.197 0.530
Ge 0.379 -1.742 6.372

***

What did the first record say?
4
Lattice="6.095 0.000 0.000 3.048 5.278 0.000 3.048 1.759 4.977" Properties=species:S:1:pos:R:3 comment="SrLa2Nd, relaxed, DFT PBE-GGA" density_g_cm3=5.29 polymorph_energy_mev_per_atom=120 space_group="No. 225" magmom_total_mub_per_atom=0.176 formation_enthalpy_0k_ev_per_atom=0.192 dft_energy_ev_per_atom=-3.88 pbc="T T T"
Nd 6.095 3.519 2.488
La 3.048 1.759 1.244
Sr 0.000 0.000 0.000
La 9.143 5.278 3.732